! SrCd2Fe (SCAN, PBEsol geometry); values from VASP
! - Formation energy: 0.22 eV per atom
! - VASP energy: -0.9220 Ha/atom
&SYSTEM
  ibrav = 0, nat = 16, ntyp = 3
/
ATOMIC_SPECIES
Sr 87.62 Sr.upf
Cd 112.41 Cd.upf
Fe 55.84 Fe.upf
ATOMIC_POSITIONS crystal
Sr 0.000 0.000 0.000
Sr 0.000 0.500 0.500
Sr 0.500 0.000 0.500
Sr 0.500 0.500 0.000
Cd 0.250 0.250 0.250
Cd 0.250 0.250 0.750
Cd 0.250 0.750 0.250
Cd 0.250 0.750 0.750
Cd 0.750 0.250 0.250
Cd 0.750 0.250 0.750
Cd 0.750 0.750 0.250
Cd 0.750 0.750 0.750
Fe 0.000 0.000 0.500
Fe 0.000 0.500 0.000
Fe 0.500 0.000 0.000
Fe 0.500 0.500 0.500
CELL_PARAMETERS angstrom
7.111 0.000 0.000
0.000 7.111 0.000
0.000 0.000 7.111

! SrCd2Fe (SCAN, PBEsol geometry); values from VASP
! - Formation energy: 0.25 eV per atom
! - VASP energy: -0.9208 Ha/atom
&SYSTEM
  ibrav = 0, nat = 4, ntyp = 3
/
ATOMIC_SPECIES
Sr 87.62 Sr.upf
Cd 112.41 Cd.upf
Fe 55.84 Fe.upf
ATOMIC_POSITIONS crystal
Sr 0.000 0.000 0.000
Cd 0.000 0.000 0.557
Cd 0.500 0.500 0.322
Fe 0.500 0.500 0.715
CELL_PARAMETERS angstrom
3.438 0.000 0.000
0.000 3.438 0.000
0.000 0.000 7.564

! Ta2CdFe (SCAN, PBEsol geometry); values from VASP
! - Formation energy: 0.16 eV per atom
! - VASP energy: -1.6635 Ha/atom
&SYSTEM
  ibrav = 0, nat = 8, ntyp = 3
/
ATOMIC_SPECIES
Ta 180.95 Ta.upf
Cd 112.41 Cd.upf
Fe 55.84 Fe.upf
ATOMIC_POSITIONS crystal
Ta 0.000 0.000 0.000
Ta 0.000 0.500 0.260
Ta 0.500 0.000 0.260
Ta 0.500 0.500 0.000
Cd 0.000 0.500 0.720
Cd 0.500 0.000 0.720
Fe 0.000 0.000 0.479
Fe 0.500 0.500 0.479
CELL_PARAMETERS angstrom
3.373 0.000 0.000
0.000 4.417 0.000
0.000 0.000 8.837

! Ta3CdFe (SCAN, PBEsol geometry); values from VASP
! - Formation energy: 2.54 eV per atom
! - VASP energy: -1.7317 Ha/atom
&SYSTEM
  ibrav = 0, nat = 5, ntyp = 3
/
ATOMIC_SPECIES
Ta 180.95 Ta.upf
Cd 112.41 Cd.upf
Fe 55.84 Fe.upf
ATOMIC_POSITIONS crystal
Ta 0.000 0.000 0.500
Ta 0.000 0.500 0.000
Ta 0.500 0.000 0.000
Cd 0.000 0.000 0.000
Fe 0.500 0.500 0.500
CELL_PARAMETERS angstrom
4.871 0.000 0.000
0.000 4.871 0.000
0.000 0.000 4.871